# 1
# ScReB2

ScReB2 after structural relaxation (PBE-GGA, Alexandria via LeMat-Bulk).

## Properties
space group: No. 62
energy of formation: -0.481 eV/atom
theoretical density: 8.6 g cm⁻³

```
ScReB2
1.0
6.207 0.000 0.000
0.000 3.310 0.000
0.000 0.000 9.526
Sc Re B
4 4 8
Direct
0.024 0.250 0.143
0.476 0.750 0.643
0.524 0.250 0.357
0.976 0.750 0.857
0.118 0.750 0.401
0.382 0.250 0.901
0.618 0.750 0.099
0.882 0.250 0.599
0.192 0.250 0.714
0.229 0.250 0.531
0.271 0.750 0.031
0.308 0.750 0.214
0.692 0.250 0.786
0.729 0.250 0.969
0.771 0.750 0.469
0.808 0.750 0.286
```


# 2
# TaTc2As

TaTc2As after structural relaxation (PBE-GGA, Alexandria via LeMat-Bulk).

## Properties
space group: No. 216
energy of formation: 0.189 eV/atom
theoretical density: 12.0 g cm⁻³

```
TaTc2As
1.0
0.000 3.153 3.153
3.153 0.000 3.153
3.153 3.153 0.000
Ta Tc As
1 2 1
Direct
0.000 0.000 0.000
0.500 0.500 0.500
0.750 0.750 0.750
0.250 0.250 0.250
```